Record 1
{
  "formula": "CsCo2SnI",
  "functional": "SCAN",
  "state": "single point on PBEsol structure",
  "lattice_angstrom": [[4.7850, 0.0000, 0.0000], [0.0000, 4.7850, 0.0000], [0.0000, 0.0000, 6.6199]],
  "species": ["Cs", "I", "Co", "Co", "Sn"],
  "fractional_positions": [[0.0000, 0.0000, 0.0000], [0.0000, 0.0000, 0.5000], [0.0000, 0.5000, 0.0000], [0.5000, 0.0000, 0.0000], [0.5000, 0.5000, 0.5000]],
  "magmom_total_mub_per_atom": 0.6573,
  "e_form_raw_ev_per_atom": 1.771,
  "volume_a3_per_atom": 30.31,
  "spacegroup": "P4/mmm, No. 123",
  "e_tot_ev_per_atom": -27.2458
}

***

Record 2
{
  "formula": "HfPWS2",
  "functional": "SCAN",
  "state": "single point on PBEsol structure",
  "lattice_angstrom": [[-0.5835, 1.5125, 4.4423], [0.3422, -4.4509, 1.5604], [4.9360, 0.5421, 0.4637]],
  "species": ["P", "S", "S", "Hf", "W"],
  "fractional_positions": [[0.0000, 0.0000, 0.5000], [0.0000, 0.5000, 0.0000], [0.5000, 0.0000, 0.0000], [0.0000, 0.0000, 0.0000], [0.5000, 0.5000, 0.5000]],
  "magmom_total_mub_per_atom": 0.6123,
  "e_form_raw_ev_per_atom": 0.732,
  "volume_a3_per_atom": 22.31,
  "spacegroup": "P4/mmm, No. 123",
  "e_tot_ev_per_atom": -31.6715
}

***

Record 3
{
  "formula": "Na3GeSe3",
  "functional": "SCAN",
  "state": "single point on PBEsol structure",
  "lattice_angstrom": [[8.2076, -0.0835, 0.0000], [-4.1032, 7.2960, 0.0000], [0.0000, 0.0000, 11.7957]],
  "species": ["Na", "Na", "Na", "Na", "Na", "Na", "Na", "Na", "Na", "Na", "Na", "Na", "Ge", "Ge", "Ge", "Ge", "Se", "Se", "Se", "Se", "Se", "Se", "Se", "Se", "Se", "Se", "Se", "Se"],
  "fractional_positions": [[0.2090, 0.4658, 0.7252], [0.2910, 0.5342, 0.2252], [0.7910, 0.5342, 0.2748], [0.7090, 0.4658, 0.7748], [0.0185, 0.2280, 0.4397], [0.4815, 0.7720, 0.9397], [0.9815, 0.7720, 0.5603], [0.5185, 0.2280, 0.0603], [0.9817, 0.9982, 0.8392], [0.5183, 0.0018, 0.3392], [0.0183, 0.0018, 0.1608], [0.4817, 0.9982, 0.6608], [0.9650, 0.3409, 0.0096], [0.5350, 0.6591, 0.5096], [0.0350, 0.6591, 0.9904], [0.4650, 0.3409, 0.4904], [0.2310, 0.1599, 0.6241], [0.2690, 0.8401, 0.1241], [0.7690, 0.8401, 0.3759], [0.7310, 0.1599, 0.8759], [0.7464, 0.3411, 0.5292], [0.7536, 0.6589, 0.0292], [0.2536, 0.6589, 0.4708], [0.2464, 0.3411, 0.9708], [0.3649, 0.2487, 0.3018], [0.1351, 0.7513, 0.8018], [0.6351, 0.7513, 0.6982], [0.8649, 0.2487, 0.1982]],
  "magmom_total_mub_per_atom": 0.0000,
  "e_form_raw_ev_per_atom": -1.004,
  "volume_a3_per_atom": 25.08,
  "spacegroup": "P2_1/c, No. 14",
  "e_tot_ev_per_atom": -14.1421
}

***

Record 4
{
  "formula": "CoC4",
  "functional": "SCAN",
  "state": "single point on PBEsol structure",
  "lattice_angstrom": [[2.5812, 0.0000, 0.0000], [-1.2906, 2.2354, 0.0000], [0.0000, 0.0000, 5.8885]],
  "species": ["C", "C", "C", "C", "Co"],
  "fractional_positions": [[0.3333, 0.6667, 0.2042], [0.6667, 0.3333, 0.7958], [0.3333, 0.6667, 0.4544], [0.6667, 0.3333, 0.5456], [0.0000, 0.0000, 0.0000]],
  "magmom_total_mub_per_atom": 0.1334,
  "formation_energy_ev_per_atom": 0.685,
  "volume_a3_per_atom": 6.80,
  "spacegroup": "P-3m1, No. 164",
  "polymorph_energy_mev_per_atom": 0,
  "e_tot_ev_per_atom": -10.8554
}